DFT (PBEsol) results for an optimized crystal structure of HgPtAu2.

extended XYZ file:
```
4
Lattice="2.944 0.027 0.000 -0.027 2.944 0.000 0.000 0.000 7.919" Properties=species:S:1:pos:R:3 pbc="T T T"
Au 0.000 0.000 0.053
Au 1.458 1.485 6.008
Hg 0.000 0.000 3.885
Pt 1.458 1.485 1.933
```

Energy relative to the elements ... 2.85 kJ/mol of atoms
Theoretical density ... 19.10 g cm⁻³
Space-group type ... P4mm